SrReBr2: relaxed, PBE-GGA.

Unit cell a=4.1712 b=5.0378 c=5.0640 alpha=83.40 beta=90.00 gamma=90.00
Element x y z (fractional)
Br  0.0000  0.4478  0.4485
Br  0.0000  0.0522  0.0515
Re  0.5000  0.2500  0.2500
Sr  0.5000  0.7500  0.7500

Calculated values
Space group: P2/m (10)
Density of states at the Fermi level (states/eV/cell): 1.9
ρ (Mg/m³): 6.81
Energy (eV/atom): -4.23
Excess energy over the best structure of this formula in the dataset (meV/atom): 139
Formation energy from raw total energies (eV/atom): 0.1406

---

Sr3ReBr: relaxed, PBE-GGA.

Unit cell a=5.7979 b=5.7979 c=5.7979 alpha=90.00 beta=90.00 gamma=90.00
Element x y z (fractional)
Sr  0.0000  0.5000  0.0000
Sr  0.5000  0.0000  0.0000
Sr  0.0000  0.0000  0.5000
Br  0.5000  0.5000  0.5000
Re  0.0000  0.0000  0.0000

Calculated values
Space group: Pm-3m (221)
Density of states at the Fermi level (states/eV/cell): 1.5
ρ (Mg/m³): 4.51
Energy (eV/atom): -3.54
Excess energy over the best structure of this formula in the dataset (meV/atom): 0
Formation energy from raw total energies (eV/atom): 0.2907

---

SrRe2Br: relaxed, PBE-GGA.

Unit cell a=6.1741 b=3.5571 c=4.7280 alpha=90.89 beta=90.00 gamma=90.00
Element x y z (fractional)
Br  0.5000  0.7500  0.7500
Sr  0.5000  0.2500  0.2500
Re  0.0000  0.5039  0.4119
Re  0.0000  0.9961  0.0881

Calculated values
Space group: P2/m (10)
Density of states at the Fermi level (states/eV/cell): 3.7
ρ (Mg/m³): 8.64
Energy (eV/atom): -6.49
Excess energy over the best structure of this formula in the dataset (meV/atom): 408
Formation energy from raw total energies (eV/atom): 0.5693

---

SrRe2Br: relaxed, PBE-GGA.

Unit cell a=3.2480 b=3.2480 c=8.4797 alpha=90.00 beta=90.00 gamma=90.00
Element x y z (fractional)
Sr  0.0000  0.0000  0.4926
Br  0.5000  0.5000  0.7381
Re  0.5000  0.5000  0.2035
Re  0.0000  0.0000  0.0658

Calculated values
Space group: P4mm (99)
Density of states at the Fermi level (states/eV/cell): 3.3
ρ (Mg/m³): 10.02
Energy (eV/atom): -6.84
Excess energy over the best structure of this formula in the dataset (meV/atom): 60
Formation energy from raw total energies (eV/atom): 0.2210

---

SrY2ReBr: relaxed, PBE-GGA.

Unit cell a=5.8993 b=4.7600 c=5.8993 alpha=90.00 beta=90.00 gamma=90.00
Element x y z (fractional)
Y  0.5000  0.0000  0.0000
Y  0.0000  0.0000  0.5000
Br  0.5000  0.5000  0.5000
Re  0.0000  0.5000  0.0000
Sr  0.0000  0.0000  0.0000

Calculated values
Space group: P4/mmm (123)
Density of states at the Fermi level (states/eV/cell): 3.6
ρ (Mg/m³): 5.33
Energy (eV/atom): -4.09
Formation energy from raw total energies (eV/atom): 1.6554

---

Sr2ZrReBr: relaxed, PBE-GGA.

Unit cell a=6.2778 b=5.0563 c=6.2778 alpha=90.00 beta=90.00 gamma=90.00
Element x y z (fractional)
Zr  0.0000  0.0000  0.0000
Sr  0.0000  0.0000  0.5000
Sr  0.5000  0.0000  0.0000
Br  0.0000  0.5000  0.0000
Re  0.5000  0.5000  0.5000

Calculated values
Space group: P4/mmm (123)
Density of states at the Fermi level (states/eV/cell): 6.9
ρ (Mg/m³): 4.44
Energy (eV/atom): -3.79
Formation energy from raw total energies (eV/atom): 1.4152